1.
Here is crystalline SmThRh2 at its relaxed geometry from Alexandria. Energies are from PBE-GGA.

```
16
Lattice="5.7791 0.0000 0.0000 0.0000 5.7758 0.2199 0.0000 -0.4383 11.4793" Properties=species:S:1:pos:R:3 pbc="T T T"
Rh 4.3527 -0.1528 4.2383
Rh 4.3281 -0.3542 10.1140
Rh 1.4511 2.7529 4.4843
Rh 1.4264 2.5160 10.0879
Rh 4.3527 2.8215 1.6113
Rh 4.3281 2.5847 7.2150
Rh 1.4511 5.6917 1.5853
Rh 1.4264 5.4903 7.4610
Sm 4.3171 2.5347 10.1548
Sm 1.4621 2.8028 1.5445
Sm 4.3171 5.4716 7.3941
Sm 1.4621 -0.1341 4.3052
Th 4.3413 5.7126 1.6552
Th 1.4378 -0.3751 10.0440
Th 1.4378 2.6056 7.2850
Th 4.3413 2.7320 4.4143
```

Calculated values
Formation energy in eV per atom: -0.758


2.
Here is crystalline SmThRh2 at its relaxed geometry from Alexandria. Energies are from PBE-GGA.

```
4
Lattice="-2.2344 -0.3023 -2.7472 -2.3462 -1.6598 2.0908 -2.9158 6.2436 1.6845" Properties=species:S:1:pos:R:3 pbc="T T T"
Th -2.2903 -0.9810 -0.3282
Rh -2.2446 4.8064 1.2968
Rh -0.6712 1.4372 0.3878
Sm -3.7482 2.1408 0.5141
```

Calculated values
Formation energy in eV per atom: -0.764


3.
Here is crystalline SmTh3Rh4 at its relaxed geometry from Alexandria. Energies are from PBE-GGA.

```
16
Lattice="-5.3159 -3.8877 2.5975 3.7226 -3.9004 -4.6099 4.8386 -2.5590 6.0723" Properties=species:S:1:pos:R:3 pbc="T T T"
Th -2.1879 -3.8672 4.2059
Th 0.9135 -6.4733 3.4573
Th 1.7106 -2.5795 4.4640
Th 2.3317 -3.8738 0.6027
Th 4.7570 -5.1565 3.6464
Th -1.5118 -5.1906 0.4136
Sm 0.2391 -5.1508 7.2517
Sm -0.7164 -1.2959 1.4182
Rh 2.5363 -5.1821 5.4017
Rh 3.9054 -2.5838 2.6057
Rh -3.7295 -5.2179 2.1726
Rh 3.1438 -6.4255 1.5937
Rh 0.7089 -5.1650 -1.3417
Rh -0.6602 -7.7633 1.4542
Rh 6.9747 -5.1292 1.8873
Rh 0.1014 -3.9216 2.4663
```

Calculated values
Formation energy in eV per atom: -0.837


4.
Here is crystalline SmTh2Rh at its relaxed geometry from Alexandria. Energies are from PBE-GGA.

```
16
Lattice="-0.2307 0.0424 6.3208 6.5466 -2.9882 0.2590 4.1649 9.1325 0.0907" Properties=species:S:1:pos:R:3 pbc="T T T"
Th 1.3495 0.0215 2.2303
Th 9.1314 6.1653 4.4402
Th 5.8144 7.6674 5.5068
Th 4.2296 4.1923 5.4722
Th 4.6664 -1.4806 1.1638
Th 6.2512 1.9945 1.1983
Th 7.5466 2.6902 4.4057
Th 2.9343 3.4966 2.2649
Rh 3.6948 6.5496 4.0237
Rh 6.9088 5.0665 5.7796
Rh 3.5720 1.1203 0.8909
Rh 6.7860 -0.3628 2.6468
Sm 4.4191 0.7004 4.2781
Sm 1.1002 2.2028 5.3981
Sm 9.3806 3.9840 1.2724
Sm 6.0617 5.4864 2.3924
```

Calculated values
Energy relative to the lowest polymorph listed for this composition in meV/atom: 6
Formation energy in eV per atom: -0.453


5.
Here is crystalline SmTmTh2Rh4 at its relaxed geometry from Alexandria. Energies are from PBE-GGA.

```
8
Lattice="-4.5738 3.2138 1.3013 -2.8283 -4.4223 2.3208 5.9414 1.7800 3.1597" Properties=species:S:1:pos:R:3 pbc="T T T"
Rh 1.9594 0.7591 2.3311
Rh -1.2900 -1.7967 1.0064
Rh -1.9891 1.2614 0.5982
Rh -1.9309 0.0555 3.7221
Tm -3.7761 -0.6165 1.8478
Th -0.4626 2.3097 2.7915
Th 0.4101 -1.5083 3.3012
Sm -6.9251 -1.1306 3.3887
```

Calculated values
Formation energy in eV per atom: -0.783


6.
Here is crystalline SmTi2Rh2 at its relaxed geometry from Alexandria. Energies are from PBE-GGA.

```
5
Lattice="4.2691 0.0000 0.0000 0.0000 4.2691 0.0000 -2.1345 -2.1345 5.3606" Properties=species:S:1:pos:R:3 pbc="T T T"
Ti 2.1345 0.0000 2.6803
Ti 0.0000 2.1345 2.6803
Sm 0.0000 0.0000 0.0000
Rh 2.1345 2.1345 1.3242
Rh 0.0000 0.0000 4.0364
```

Calculated values
Formation energy in eV per atom: -0.659


7.
Here is crystalline SmTi2Rh3 at its relaxed geometry from Alexandria. Energies are from PBE-GGA.

```
6
Lattice="3.1221 0.0000 0.0000 0.0000 3.1221 0.0000 0.0000 0.0000 10.4728" Properties=species:S:1:pos:R:3 pbc="T T T"
Sm 1.5611 1.5611 5.2364
Ti 1.5611 1.5611 8.8566
Ti 1.5611 1.5611 1.6163
Rh 0.0000 0.0000 0.0000
Rh 0.0000 0.0000 7.4852
Rh 0.0000 0.0000 2.9877
```

Calculated values
Formation energy in eV per atom: -0.729


8.
Here is crystalline SmTi4Rh5 at its relaxed geometry from Alexandria. Energies are from PBE-GGA.

```
10
Lattice="3.1295 0.0000 0.0000 0.0000 3.1295 0.0000 0.0000 0.0000 16.5702" Properties=species:S:1:pos:R:3 pbc="T T T"
Ti 0.0000 0.0000 12.9609
Ti 0.0000 0.0000 6.7483
Ti 0.0000 0.0000 3.6093
Ti 0.0000 0.0000 9.8219
Sm 0.0000 0.0000 0.0000
Rh 1.5648 1.5648 8.2851
Rh 1.5648 1.5648 11.3186
Rh 1.5648 1.5648 14.3185
Rh 1.5648 1.5648 2.2517
Rh 1.5648 1.5648 5.2516
```

Calculated values
Formation energy in eV per atom: -0.738


9.
Here is crystalline Sm2Ti2ZnRh5 at its relaxed geometry from Alexandria. Energies are from PBE-GGA.

```
20
Lattice="-0.6712 3.0049 -0.7315 -5.1394 -3.2529 -8.6462 -8.9617 -0.6458 5.5698" Properties=species:S:1:pos:R:3 pbc="T T T"
Rh -7.9368 -1.0585 -3.9109
Rh -1.8242 0.8233 -1.7897
Rh -5.3392 -0.1485 -2.5566
Rh -4.8164 1.1795 2.4191
Rh -9.4331 -0.7453 -1.2514
Rh -6.9840 -1.7083 -7.4545
Rh -6.8355 0.1647 0.1029
Rh -2.9053 -0.1240 -4.6889
Rh -7.7882 0.8145 3.6465
Rh -12.9480 -1.7171 -2.0183
Sm -3.8162 -0.7763 0.3129
Sm -5.0217 -2.3044 -4.8581
Sm -10.2849 -3.1225 -3.3893
Sm -9.0793 -1.5943 1.7817
Ti -3.0795 -1.2787 -2.4271
Ti -11.0216 -2.6200 -0.6494
Ti -6.3616 -0.8429 2.3746
Ti -7.7395 -3.0558 -5.4510
Zn -7.0505 -1.9494 -1.5382
Zn 0.0000 0.0000 0.0000
```

Calculated values
Formation energy in eV per atom: -0.526


10.
Here is crystalline SmTiZnRh2 at its relaxed geometry from Alexandria. Energies are from PBE-GGA.

```
5
Lattice="4.0027 0.0000 0.0000 0.0000 4.0027 0.0000 -2.0013 -2.0013 5.8231" Properties=species:S:1:pos:R:3 pbc="T T T"
Rh 2.0013 2.0013 1.3185
Rh 0.0000 0.0000 4.5046
Zn 2.0013 0.0000 2.9115
Sm 0.0000 0.0000 0.0000
Ti 0.0000 2.0013 2.9115
```

Calculated values
Formation energy in eV per atom: -0.623


11.
Here is crystalline SmTlRh at its relaxed geometry from Alexandria. Energies are from PBE-GGA.

```
6
Lattice="4.0770 0.0000 0.0000 2.0385 6.6908 -0.1442 2.0385 1.0525 5.1510" Properties=species:S:1:pos:R:3 pbc="T T T"
Sm 4.0770 3.1160 4.1031
Sm 4.0770 4.6273 0.9036
Tl 4.0770 6.9550 3.6426
Tl 4.0770 0.7882 1.3641
Rh 2.0385 2.6602 1.9071
Rh 6.1155 5.0830 3.0996
```

Calculated values
Formation energy in eV per atom: -0.496


12.
Here is crystalline Sm6TlRh2 at its relaxed geometry from Alexandria. Energies are from PBE-GGA.

```
18
Lattice="-2.3168 -8.3152 1.0440 4.3007 1.4637 -7.4136 5.4913 2.4113 6.2953" Properties=species:S:1:pos:R:3 pbc="T T T"
Tl 0.0000 0.0000 0.0000
Tl 4.8960 1.9375 -0.5591
Sm 4.5271 -4.1574 -1.2967
Sm 7.1818 0.4890 -2.7130
Sm 0.2934 -4.9292 2.6388
Sm 1.9807 -5.9258 -3.1897
Sm 1.1511 -3.0605 -0.5259
Sm 3.8328 -0.8363 -2.3306
Sm 8.1292 1.7675 0.6307
Sm 3.6424 -3.6039 2.2563
Sm -0.6540 -6.2077 -0.7050
Sm 5.4945 1.4857 3.1154
Sm 6.3241 -1.3797 0.4517
Sm 2.9481 -0.2828 1.2224
Rh 2.2899 -2.9121 -3.3330
Rh 5.1854 -1.5280 3.2587
Rh 1.0684 -1.9869 2.4700
Rh 2.1061 -3.9169 4.8693
```

Calculated values
Energy relative to the lowest polymorph listed for this composition in meV/atom: 0
Formation energy in eV per atom: -0.486


13.
Here is crystalline Sm5Tl4Rh at its relaxed geometry from Alexandria. Energies are from PBE-GGA.

```
10
Lattice="-2.6848 -1.8575 1.4880 0.4989 -2.6326 -2.3861 13.7282 -9.3126 13.1452" Properties=species:S:1:pos:R:3 pbc="T T T"
Sm 0.0009 -2.9870 0.5984
Sm 2.9133 -4.9627 3.3871
Sm 8.6290 -8.8400 8.8601
Sm 11.5414 -10.8156 11.6488
Sm 5.7712 -6.9013 6.1236
Tl 8.2930 -5.6256 7.9408
Tl 2.5884 -1.7559 2.4785
Tl 5.4353 -3.6870 5.2044
Tl 11.1398 -7.5567 10.6667
Rh 0.0000 0.0000 0.0000
```

Calculated values
Formation energy in eV per atom: -0.450


14.
Here is crystalline Sm12Tl5Rh3 at its relaxed geometry from Alexandria. Energies are from PBE-GGA.

```
80
Lattice="15.2107 0.0000 0.0000 -5.0702 14.3408 0.0000 -5.0702 -7.1704 12.4195" Properties=species:S:1:pos:R:3 pbc="T T T"
Rh 1.2676 -0.8963 4.6573
Rh 1.2676 7.1704 3.1049
Rh 6.3378 0.8963 4.6573
Rh -3.8027 2.6889 10.8670
Rh -6.3378 7.1704 9.3146
Rh -1.2676 6.2741 7.7622
Rh 3.8027 0.0000 9.3146
Rh 3.8027 8.0667 7.7622
Rh 8.8729 9.8593 1.5524
Rh 11.4080 0.0000 3.1049
Rh -3.8027 -2.6889 10.8670
Rh 8.8729 4.4815 1.5524
Sm 7.5350 13.0162 0.9114
Sm 6.8566 10.8943 3.2444
Sm -1.7864 4.6717 10.8166
Sm 5.8189 -0.9477 7.5723
Sm -0.3804 0.6597 2.9654
Sm 7.2250 7.8576 7.1211
Sm 7.3073 7.5579 2.0540
Sm -2.2370 -0.3875 10.3655
Sm 2.4648 -2.1336 6.9011
Sm 0.3803 8.5173 8.2637
Sm 7.5350 3.4582 4.6069
Sm 1.7864 0.9477 7.5723
Sm -2.1548 -0.6873 5.2983
Sm -0.0703 5.0368 5.5183
Sm -2.9155 7.8300 9.4541
Sm -4.9999 10.8826 4.6069
Sm -4.6899 6.4831 7.1211
Sm 3.2838 6.2226 4.8472
Sm -5.8189 3.7239 9.1751
Sm 2.2370 1.5850 11.0569
Sm -2.4648 3.7122 7.8125
Sm 2.1548 5.8234 8.2637
Sm 9.3917 -4.6717 10.8166
Sm 2.2370 -1.9725 11.7281
Sm 7.9857 -0.6597 2.9654
Sm -0.2981 5.1979 0.6914
Sm -5.3683 0.3875 10.3655
Sm -0.2981 8.7554 1.3626
Sm 2.8332 5.5853 1.3626
Sm 10.8892 3.4465 3.2444
Sm 2.9155 1.3469 4.1558
Sm -4.3215 11.8420 1.6028
Sm -5.1405 5.8458 11.5081
Sm 2.8332 9.1429 0.6914
Sm -0.7487 8.1181 4.8472
Sm 5.1405 2.1336 6.9011
Sm -2.4648 -5.8458 11.5081
Sm 2.6054 9.3040 5.5183
Sm -1.7864 -3.7239 9.1751
Sm 5.4506 6.5107 9.4541
Sm 10.0702 -3.7122 7.8125
Sm 10.4385 6.7829 2.0540
Sm 9.7601 0.6873 5.2983
Sm 5.3683 1.9725 11.7281
Sm 5.3683 -1.5850 11.0569
Sm 6.8566 2.4987 1.6028
Sm 4.6899 -1.3469 4.1558
Sm 10.2107 1.3246 0.9114
Tl 6.3378 6.2741 4.6573
Tl -2.5351 7.1704 0.0000
Tl 7.6053 0.0000 0.0000
Tl -5.0702 3.5852 6.2097
Tl 0.0000 0.0000 0.0000
Tl 1.2676 -3.5852 9.3146
Tl 1.2676 4.4815 10.8670
Tl -1.2676 11.6519 1.5524
Tl 6.3378 -4.4815 10.8670
Tl 5.0702 7.1704 0.0000
Tl 3.8027 10.7556 3.1049
Tl -2.5351 -3.5852 6.2097
Tl -3.8027 8.0667 4.6573
Tl 3.8027 2.6889 1.5524
Tl 2.5351 3.5852 6.2097
Tl 8.8729 -0.8963 7.7622
Tl -1.2676 3.5852 3.1049
Tl -1.2676 0.8963 7.7622
Tl 6.3378 3.5852 9.3146
Tl 5.0702 -3.5852 6.2097
```

Calculated values
Formation energy in eV per atom: 0.097


15.
Here is crystalline Sm4Tl2Rh at its relaxed geometry from Alexandria. Energies are from PBE-GGA.

```
7
Lattice="-2.2775 -2.9530 0.3689 7.3469 -5.4718 1.5556 -5.8865 5.1558 4.9301" Properties=species:S:1:pos:R:3 pbc="T T T"
Tl -3.6417 1.0106 4.6408
Tl 3.0325 -4.3242 3.1407
Sm -1.6825 -0.7681 2.4980
Sm 1.0734 -2.5455 5.2834
Sm -0.4339 1.0465 5.6975
Sm 2.1022 -1.4070 1.7149
Rh 0.1040 -0.0223 0.4633
```

Calculated values
Formation energy in eV per atom: -0.315


16.
Here is crystalline Sm7TlRh2 at its relaxed geometry from Alexandria. Energies are from PBE-GGA.

```
10
Lattice="-4.0416 2.9081 1.7716 -5.3519 -5.2725 -3.5545 1.9592 -2.0383 7.8155" Properties=species:S:1:pos:R:3 pbc="T T T"
Rh -2.2323 -1.5445 5.3255
Rh -5.2019 -2.8582 0.7071
Sm -1.7080 0.5250 3.1245
Sm -0.1604 -2.9759 4.5193
Sm -3.8540 -4.0994 5.8198
Sm -5.7262 -4.9276 2.9081
Sm -3.5802 -0.3032 0.2128
Sm -3.2323 -4.3348 -0.2582
Sm -3.7171 -2.2013 3.0163
Tl 0.0000 0.0000 0.0000
```

Calculated values
Formation energy in eV per atom: -0.202


17.
Here is crystalline Sm5TlRh at its relaxed geometry from Alexandria. Energies are from PBE-GGA.

```
14
Lattice="6.0919 -0.3514 -0.0532 1.5995 5.8886 -0.0532 2.7446 1.9759 11.4184" Properties=species:S:1:pos:R:3 pbc="T T T"
Sm 3.7151 4.2403 6.3253
Sm 6.7208 3.2729 4.9867
Sm 8.1281 1.1614 8.5106
Sm 6.9031 3.3253 1.3573
Sm 6.6083 6.3232 10.6959
Sm 3.5328 4.1879 9.9547
Sm 3.7201 1.0337 4.2455
Sm 2.3078 6.3518 2.8014
Sm 3.8276 1.1900 0.6161
Sm 6.7159 6.4795 7.0665
Rh 0.0000 0.0000 0.0000
Rh 1.3723 0.9880 5.7092
Tl 6.3028 3.6969 8.5106
Tl 4.1332 3.8163 2.8014
```

Calculated values
Formation energy in eV per atom: -0.235


18.
Here is crystalline Sm3TlRh8 at its relaxed geometry from Alexandria. Energies are from PBE-GGA.

```
12
Lattice="5.1240 0.0000 1.5468 2.3285 4.5644 1.5468 -0.0291 -0.0178 9.3567" Properties=species:S:1:pos:R:3 pbc="T T T"
Rh 3.2555 1.9938 3.0976
Rh 4.4061 4.2646 8.5644
Rh 4.4220 4.2804 3.8725
Rh 5.0977 3.1221 10.8946
Rh 5.8224 1.9938 3.8725
Rh 1.3880 0.8501 4.6624
Rh 5.8011 1.9869 8.5644
Rh 6.9631 4.2646 9.3363
Sm 2.7748 1.6994 9.3291
Sm 3.7427 2.2922 6.1227
Sm 7.4172 4.5427 3.2107
Tl 6.4998 3.9808 6.2500
```

Calculated values
Formation energy in eV per atom: -0.526


19.
Here is crystalline Sm2TlRh at its relaxed geometry from Alexandria. Energies are from PBE-GGA.

```
4
Lattice="3.5802 0.0000 0.0000 0.0000 3.5802 0.0000 0.0000 0.0000 7.8715" Properties=species:S:1:pos:R:3 pbc="T T T"
Rh 1.7901 1.7901 0.0000
Sm 0.0000 0.0000 6.1888
Sm 0.0000 0.0000 1.6827
Tl 1.7901 1.7901 3.9357
```

Calculated values
Energy relative to the lowest polymorph listed for this composition in meV/atom: 0
Formation energy in eV per atom: -0.543